1.
BeBi3W (PBEsol, optimized geometry); formation energy from the elements = 1.3792 eV/atom; M_tot = 3.16 μB/f.u.
1.0
-4.020 2.841 -0.578
-2.368 -2.647 3.458
1.674 3.081 3.504
Be Bi W
1 3 1
Direct
0.000 0.000 0.000
0.000 0.500 0.000
0.000 0.000 0.500
0.500 0.000 0.000
0.500 0.500 0.500

=====

2.
Be2BiW (PBEsol, optimized geometry); formation energy from the elements = 1.1283 eV/atom; M_tot = 0.00 μB/f.u.
1.0
-4.325 -3.243 1.251
5.155 -1.684 1.176
-0.722 4.540 3.107
Be Bi W
4 2 2
Direct
0.849 0.875 0.474
0.401 0.375 0.526
0.125 0.599 0.974
0.625 0.151 0.026
0.000 0.000 0.000
0.250 0.750 0.500
0.500 0.500 0.000
0.750 0.250 0.500

=====

3.
Y2BeBi2 (PBEsol, optimized geometry); formation energy from the elements = -0.2677 eV/atom; M_tot = 0.00 μB/f.u.
1.0
-3.591 -1.660 1.746
0.172 -5.751 -5.112
4.285 -4.175 4.842
Y Be Bi
4 2 4
Direct
0.500 0.156 0.656
0.500 0.656 0.844
0.500 0.844 0.344
0.500 0.344 0.156
0.000 0.000 0.000
0.000 0.500 0.500
0.000 0.343 0.843
0.000 0.843 0.657
0.000 0.657 0.157
0.000 0.157 0.343

=====

4.
Y2BeBi (PBEsol, optimized geometry); ΔE to the lowest computed polymorph = 0 meV/atom; formation energy from the elements = -0.1525 eV/atom; M_tot = 0.00 μB/f.u.
1.0
-2.707 -3.811 -2.155
1.282 -1.747 -4.669
2.094 -4.674 -0.514
Y Be Bi
2 1 1
Direct
0.250 0.250 0.250
0.750 0.750 0.750
0.000 0.000 0.000
0.500 0.500 0.500

=====

5.
Y2BeBi (PBEsol, optimized geometry); ΔE to the lowest computed polymorph = 126 meV/atom; formation energy from the elements = -0.0263 eV/atom; M_tot = 0.00 μB/f.u.
1.0
6.446 -0.039 0.000
-2.867 5.773 0.000
-1.789 -2.867 5.489
Y Be Bi
4 2 2
Direct
0.837 0.875 0.462
0.413 0.375 0.538
0.125 0.587 0.962
0.625 0.163 0.038
0.500 0.500 0.000
0.750 0.250 0.500
0.000 0.000 0.000
0.250 0.750 0.500

=====

6.
YBeBi3 (PBEsol, optimized geometry); formation energy from the elements = 0.9166 eV/atom; M_tot = 0.00 μB/f.u.
1.0
-3.058 -0.898 -4.804
-1.603 -5.169 1.986
-4.617 2.389 2.492
Y Be Bi
1 1 3
Direct
0.000 0.000 0.000
0.500 0.500 0.500
0.000 0.500 0.000
0.000 0.000 0.500
0.500 0.000 0.000

=====

7.
BeBr (PBEsol, optimized geometry); energy relative to the elements, uncorrected = 0.03 eV/f.u.; ΔE to the lowest computed polymorph = 0 meV/atom; M_tot = 0.00 μB/f.u.
1.0
3.292 0.000 0.000
-1.646 2.851 0.000
0.000 0.000 8.236
Be Br
2 2
Direct
0.333 0.667 0.121
0.667 0.333 0.879
0.333 0.667 0.712
0.667 0.333 0.288

=====

8.
BeBr (PBEsol, optimized geometry); energy relative to the elements, uncorrected = 0.96 eV/f.u.; ΔE to the lowest computed polymorph = 465 meV/atom; M_tot = 0.00 μB/f.u.
1.0
-2.774 -1.603 0.976
3.000 -1.421 0.444
0.238 1.467 3.087
Be Br
1 1
Direct
0.000 0.000 0.000
0.333 0.667 0.500

=====

no.,energy (eV/cell)
1,-23.768
2,-43.159
3,-55.108
4,-22.540
5,-44.070
6,-19.096
7,-11.688
8,-4.914